Record 1
Nb3TlSi | PBE | optimized geometry

Summary:
* crystal system: cubic
* symmetry: Pm-3m, No. 221
* energy relative to the elements, uncorrected: 2.182 eV per atom

```
Nb3TlSi
1.0
-0.849 -4.727 1.633
4.389 0.089 2.542
-2.397 1.838 4.075
Si Nb Tl
1 3 1
direct
0.500 0.500 0.500
0.000 0.500 0.000
0.000 0.000 0.500
0.500 0.000 0.000
0.000 0.000 0.000
```

---

Record 2
SrSbTe2C | PBE | optimized geometry

Summary:
* crystal system: tetragonal
* symmetry: P4/mmm, No. 123
* energy relative to the elements, uncorrected: 0.319 eV per atom

```
SrSbTe2C
1.0
-2.600 0.433 4.589
-3.680 -3.368 -1.768
2.402 -3.513 1.693
Sr Te C Sb
1 2 1 1
direct
0.500 0.500 0.500
0.000 0.500 0.000
0.500 0.000 0.000
0.000 0.000 0.000
0.000 0.000 0.500
```

---

Record 3
TbCe4Ru5 | PBE | optimized geometry

Summary:
* calculated formation energy: -182 meV/atom
* crystal system: tetragonal
* symmetry: I4, No. 79

```
TbCe4Ru5
1.0
-3.997 -3.562 -1.993
1.370 -6.574 0.814
-4.800 -1.690 4.457
Ru Ce Tb
5 4 1
direct
0.848 0.356 0.812
0.660 0.188 0.356
0.646 0.000 0.000
0.204 0.812 0.644
0.016 0.644 0.188
0.400 0.405 0.787
0.187 0.213 0.405
0.592 0.595 0.213
0.805 0.787 0.595
0.152 0.000 0.000
```

---

Record 4
Pu2P2Pd5 | PBE | optimized geometry

Summary:
* calculated formation energy: -660 meV/atom
* crystal system: tetragonal
* symmetry: P4/mmm, No. 123

```
Pu2P2Pd5
1.0
-1.947 0.192 -3.631
-3.282 -1.865 1.661
-3.505 8.229 2.316
Pd Pu P
5 2 2
direct
0.000 0.500 0.736
0.500 0.000 0.736
0.000 0.500 0.264
0.500 0.500 0.500
0.500 0.000 0.264
0.000 0.000 0.000
0.000 0.000 0.500
0.500 0.500 0.123
0.500 0.500 0.877
```

---

Record 5
Tb2Ga3Pt | PBE | optimized geometry

Summary:
* calculated formation energy: -862 meV/atom
* crystal system: orthorhombic
* symmetry: Fmmm, No. 69

```
Tb2Ga3Pt
1.0
-2.902 0.458 4.906
-1.861 -5.358 0.724
8.768 0.764 1.121
Tb Ga Pt
4 6 2
direct
0.259 0.741 0.000
0.741 0.259 0.000
0.250 0.750 0.500
0.750 0.250 0.500
0.833 0.833 0.166
0.667 0.667 0.834
0.167 0.167 0.834
0.834 0.834 0.668
0.333 0.333 0.166
0.166 0.166 0.332
0.668 0.668 0.336
0.332 0.332 0.664
```

---

Record 6
MgAl2Tl | PBE | optimized geometry

Summary:
* calculated formation energy: 190 meV/atom
* crystal system: trigonal
* symmetry: R-3m, No. 166

```
MgAl2Tl
1.0
-3.531 5.387 -7.701
-5.969 5.749 -5.666
-3.430 7.682 -5.478
Al Tl Mg
2 1 1
direct
0.504 0.504 0.504
0.996 0.996 0.996
0.750 0.750 0.750
0.250 0.250 0.250
```

---

Record 7
Na2BSe2 | PBE | optimized geometry

Summary:
* crystal system: tetragonal
* symmetry: P4/mbm, No. 127
* energy relative to the elements, uncorrected: 0.104 eV per atom

```
Na2BSe2
1.0
-4.147 1.023 -5.194
0.931 -6.354 -1.995
-3.461 -1.294 2.508
Se Na B
4 4 2
direct
0.811 0.689 0.000
0.189 0.311 0.000
0.311 0.811 0.000
0.689 0.189 0.000
0.356 0.144 0.500
0.644 0.856 0.500
0.856 0.356 0.500
0.144 0.644 0.500
0.000 0.000 0.000
0.500 0.500 0.000
```

---

Record 8
CdPbS2 | PBE | optimized geometry

Summary:
* crystal system: tetragonal
* symmetry: P4/mmm, No. 123
* energy relative to the elements, uncorrected: -0.459 eV per atom

```
CdPbS2
1.0
4.079 0.000 0.000
0.000 4.079 0.000
0.000 0.000 5.760
S Cd Pb
2 1 1
direct
0.000 0.000 0.500
0.500 0.500 0.000
0.000 0.000 0.000
0.500 0.500 0.500
```

---

Record 9
Rb4NiBr5 | PBE | optimized geometry

Summary:
* crystal system: tetragonal
* symmetry: I4, No. 79
* energy relative to the elements, uncorrected: -1.262 eV per atom

```
Rb4NiBr5
1.0
6.970 0.000 0.000
3.485 7.360 0.000
3.485 0.000 7.360
Rb Br Ni
4 5 1
direct
0.803 0.794 0.612
0.210 0.206 0.388
0.598 0.612 0.206
0.415 0.388 0.794
0.252 0.830 0.667
0.418 0.000 0.000
0.083 0.667 0.170
0.750 0.170 0.333
0.920 0.333 0.830
0.061 0.000 0.000
```

---

Record 10
CePbBr6 | PBE | optimized geometry

Summary:
* crystal system: trigonal
* symmetry: R-3, No. 148
* energy relative to the elements, uncorrected: -1.308 eV per atom

```
CePbBr6
1.0
7.242 0.009 0.010
3.613 6.279 0.014
3.609 2.087 6.653
Pb Br Ce
1 6 1
direct
0.500 0.500 0.500
0.597 0.233 0.242
0.403 0.767 0.758
0.929 0.597 0.242
0.071 0.403 0.758
0.233 0.929 0.242
0.767 0.071 0.758
0.000 0.000 0.000
```

---

Record 11
CaAlF2 | PBE | optimized geometry

Summary:
* crystal system: trigonal
* symmetry: R-3m, No. 166
* energy relative to the elements, uncorrected: -1.887 eV per atom

```
CaAlF2
1.0
-1.306 5.010 -2.330
-4.373 2.188 -2.886
-3.884 4.054 0.850
F Ca Al
2 1 1
direct
0.860 0.860 0.860
0.140 0.140 0.140
0.000 0.000 0.000
0.500 0.500 0.500
```

---

Record 12
InReHg2 | PBE | optimized geometry

Summary:
* calculated formation energy: 695 meV/atom
* crystal system: orthorhombic
* symmetry: Cmmm, No. 65

```
InReHg2
1.0
2.976 -0.033 0.000
-1.522 2.557 0.000
0.000 0.000 11.330
Hg In Re
2 1 1
direct
0.000 0.000 0.527
0.000 0.000 0.973
0.500 0.500 0.250
0.500 0.500 0.750
```

---

Record 13
La3SbAs | PBE | optimized geometry

Summary:
* crystal system: orthorhombic
* symmetry: Pnma, No. 62
* energy relative to the elements, uncorrected: -1.144 eV per atom

```
La3SbAs
1.0
4.445 0.000 0.000
0.000 8.673 0.000
0.000 0.000 16.635
As La Sb
4 12 4
direct
0.750 0.708 0.047
0.250 0.292 0.953
0.750 0.208 0.453
0.250 0.792 0.547
0.250 0.357 0.546
0.750 0.143 0.046
0.250 0.161 0.787
0.250 0.991 0.394
0.750 0.339 0.287
0.250 0.661 0.713
0.750 0.009 0.606
0.250 0.857 0.954
0.750 0.509 0.894
0.750 0.643 0.454
0.750 0.839 0.213
0.250 0.491 0.106
0.250 0.126 0.198
0.250 0.626 0.302
0.750 0.374 0.698
0.750 0.874 0.802
```

---

Record 14
Y2VSiB | PBE | optimized geometry

Summary:
* crystal system: tetragonal
* symmetry: P4/mmm, No. 123
* energy relative to the elements, uncorrected: -0.168 eV per atom

```
Y2VSiB
1.0
4.923 0.000 0.000
0.000 4.174 0.000
0.000 0.000 4.923
Y Si V B
2 1 1 1
direct
0.000 0.000 0.500
0.500 0.000 0.000
0.500 0.500 0.500
0.000 0.500 0.000
0.000 0.000 0.000
```

---

Record 15
Na4Tm3SbO8 | PBE | optimized geometry

Summary:
* crystal system: trigonal
* symmetry: R-3m, No. 166
* energy relative to the elements, uncorrected: -2.474 eV per atom

```
Na4Tm3SbO8
1.0
6.780 0.000 0.000
0.000 6.811 0.018
-3.390 -3.386 4.797
O Tm Na Sb
8 3 4 1
direct
0.264 0.293 0.529
0.736 0.707 0.471
0.758 0.287 0.030
0.728 0.713 0.970
0.758 0.287 0.515
0.242 0.713 0.970
0.242 0.713 0.485
0.272 0.287 0.030
0.500 0.500 0.500
0.500 0.500 0.000
0.000 0.500 0.500
0.000 0.000 0.000
0.000 0.000 0.500
0.500 0.000 0.000
0.500 0.000 0.500
0.000 0.500 0.000
```

---

Record 16
Mn2SeS | PBE | optimized geometry

Summary:
* crystal system: tetragonal
* symmetry: I-42d, No. 122
* energy relative to the elements, uncorrected: -0.058 eV per atom

```
Mn2SeS
1.0
-1.102 -4.899 0.965
1.488 0.621 4.852
-4.654 -0.790 4.222
Mn S Se
4 2 2
direct
0.597 0.125 0.250
0.153 0.625 0.250
0.875 0.847 0.750
0.375 0.403 0.750
0.250 0.750 0.500
0.500 0.500 0.000
0.000 0.000 0.000
0.750 0.250 0.500
```

---

Record 17
NaBiTePOs | PBE | optimized geometry

Summary:
* crystal system: triclinic
* symmetry: P1, No. 1
* energy relative to the elements, uncorrected: 0.068 eV per atom

```
NaBiTePOs
1.0
3.386 -0.007 0.004
0.032 5.882 -0.025
1.679 1.353 6.671
Na P Te Os Bi
1 1 1 1 1
direct
0.724 0.722 0.255
0.533 0.369 0.656
0.507 0.844 0.713
0.092 0.179 0.539
0.290 0.256 0.126
```

---

Record 18
In4Ga2SnHg | PBE | optimized geometry

Summary:
* calculated formation energy: 90 meV/atom
* crystal system: tetragonal
* symmetry: P4/mmm, No. 123

```
In4Ga2SnHg
1.0
-4.501 2.522 0.018
-2.522 -4.501 0.023
0.042 0.017 8.051
Ga Sn Hg In
2 1 1 4
direct
0.500 0.500 0.346
0.500 0.500 0.654
0.000 0.000 0.500
0.000 0.000 0.000
0.000 0.500 0.793
0.500 0.000 0.793
0.000 0.500 0.207
0.500 0.000 0.207
```

---

Record 19
NdSm2Pt | PBE | optimized geometry

Summary:
* calculated formation energy: -489 meV/atom
* crystal system: trigonal
* symmetry: R3m, No. 160

```
NdSm2Pt
1.0
-0.021 1.498 3.725
-2.812 -1.168 2.618
4.530 -6.785 4.918
Pt Nd Sm
1 1 2
direct
0.666 0.666 0.002
0.501 0.501 0.496
0.060 0.060 0.820
0.273 0.273 0.182
```

---

Record 20
Tc2NiW | PBE | optimized geometry

Summary:
* calculated formation energy: -15 meV/atom
* crystal system: tetragonal
* symmetry: P4/mmm, No. 123

```
Tc2NiW
1.0
-0.916 3.349 1.650
-3.613 -0.370 -1.256
-0.924 -1.828 3.196
Tc W Ni
2 1 1
direct
0.500 0.500 0.000
0.000 0.000 0.000
0.500 0.000 0.500
0.000 0.500 0.500
```

---

Record 21
Ca8MgCd2 | PBE | optimized geometry

Summary:
* calculated formation energy: -132 meV/atom
* crystal system: monoclinic
* symmetry: C2/m, No. 12

```
Ca8MgCd2
1.0
-4.821 -2.494 -0.283
-0.011 -0.881 7.957
-1.682 9.439 -2.335
Ca Cd Mg
8 2 1
direct
0.327 0.049 0.654
0.810 0.710 0.619
0.402 0.534 0.804
0.673 0.951 0.346
0.598 0.466 0.196
0.970 0.227 0.939
0.190 0.290 0.381
0.030 0.773 0.061
0.816 0.311 0.632
0.184 0.689 0.368
0.500 0.000 0.000
```

---

Record 22
TaPbAu2 | PBE | optimized geometry

Summary:
* calculated formation energy: 254 meV/atom
* crystal system: orthorhombic
* symmetry: Immm, No. 71

```
TaPbAu2
1.0
6.226 -0.007 0.009
3.413 5.208 -0.009
-4.141 -3.858 2.595
Au Pb Ta
2 1 1
direct
0.031 0.031 0.000
0.469 0.469 0.000
0.750 0.250 0.500
0.250 0.750 0.500
```

---

Record 23
TbPm6Sn6 | PBE | optimized geometry

Summary:
* calculated formation energy: -422 meV/atom
* crystal system: hexagonal
* symmetry: P6/mmm, No. 191

```
TbPm6Sn6
1.0
-7.202 1.530 -0.508
2.252 -5.966 3.715
0.517 4.985 7.692
Sn Pm Tb
6 6 1
direct
0.000 0.000 0.337
0.000 0.000 0.663
0.333 0.667 0.000
0.333 0.667 0.500
0.667 0.333 0.500
0.667 0.333 0.000
0.500 0.500 0.253
0.500 0.500 0.747
0.500 0.000 0.253
0.000 0.500 0.253
0.500 0.000 0.747
0.000 0.500 0.747
0.000 0.000 0.000
```

---

Record 24
KSrSe2 | PBE | optimized geometry

Summary:
* crystal system: monoclinic
* symmetry: Cm, No. 8
* energy relative to the elements, uncorrected: -1.229 eV per atom

```
KSrSe2
1.0
-5.760 2.238 1.083
-5.480 0.821 -2.940
-2.052 -4.266 1.360
Se Sr K
2 1 1
direct
0.983 0.983 0.150
0.774 0.774 0.602
0.492 0.492 0.625
0.250 0.250 0.123
```

---

Record 25
HfPaPt | PBE | optimized geometry

Summary:
* calculated formation energy: -568 meV/atom
* crystal system: orthorhombic
* symmetry: Pmmn, No. 59

```
HfPaPt
1.0
4.058 0.000 0.000
0.000 3.919 0.000
0.000 0.000 16.360
Pt Hf Pa
4 4 4
direct
0.250 0.750 0.152
0.750 0.250 0.848
0.250 0.750 0.652
0.750 0.250 0.348
0.750 0.250 0.688
0.250 0.750 0.812
0.250 0.750 0.312
0.750 0.250 0.188
0.750 0.750 0.479
0.750 0.750 0.979
0.250 0.250 0.521
0.250 0.250 0.021
```

---

Number 1: total DFT energy (no corrections) -27.09 eV per cell. Number 2: total DFT energy (no corrections) -19.71 eV per cell. Number 3: total DFT energy (no corrections) -76.57 eV per cell. Number 4: total DFT energy (no corrections) -71.38 eV per cell. Number 5: total DFT energy (no corrections) -59.11 eV per cell. Number 6: total DFT energy (no corrections) -10.69 eV per cell. Number 7: total DFT energy (no corrections) -31.53 eV per cell. Number 8: total DFT energy (no corrections) -14.71 eV per cell. Number 9: total DFT energy (no corrections) -30.63 eV per cell. Number 10: total DFT energy (no corrections) -30.14 eV per cell. Number 11: total DFT energy (no corrections) -17.03 eV per cell. Number 12: total DFT energy (no corrections) -13.01 eV per cell. Number 13: total DFT energy (no corrections) -117.10 eV per cell. Number 14: total DFT energy (no corrections) -34.99 eV per cell. Number 15: total DFT energy (no corrections) -102.06 eV per cell. Number 16: total DFT energy (no corrections) -52.37 eV per cell. Number 17: total DFT energy (no corrections) -24.64 eV per cell. Number 18: total DFT energy (no corrections) -20.59 eV per cell. Number 19: total DFT energy (no corrections) -22.20 eV per cell. Number 20: total DFT energy (no corrections) -39.53 eV per cell. Number 21: total DFT energy (no corrections) -20.89 eV per cell. Number 22: total DFT energy (no corrections) -21.10 eV per cell. Number 23: total DFT energy (no corrections) -62.64 eV per cell. Number 24: total DFT energy (no corrections) -14.66 eV per cell. Number 25: total DFT energy (no corrections) -108.77 eV per cell.